LiCeGe2 (PBE, relaxed); density of states at the Fermi level = 4.21 states/eV/f.u.; offset from the most stable computed form = 184 meV per atom; magnetic moment = 0.297 μB/f.u.; total energy = -4.70 eV/atom; space-group type = P4/mmm, No. 123; ρ = 6.4 g/cm³; energy of formation = -1.721 eV/f.u.
1.0
-1.013 -2.755 1.627
2.285 0.572 2.390
-4.526 3.698 3.443
Ge Ce Li
2 1 1
Direct
0.000 0.000 0.200 Ge
0.000 0.000 0.800 Ge
0.500 0.500 0.500 Ce
0.500 0.500 0.000 Li